# 1
BaNaC3 | GGA-PBE | relaxed

As for the space group: Pm-3m. The distance to the lowest polymorph of the same formula is 423 meV per atom. The value obtained for the total energy is -3.028 eV per atom. The size of the total moment is 5.74 μB/f.u. As for the formation energy: 3154 meV per atom.

Cell lengths 5.247, 5.247, 5.247 Å; angles 90.00, 90.00, 90.00 degrees
Positions (direct):
Ba 0.000 0.000 0.000
Na 0.500 0.500 0.500
C 0.000 0.000 0.500
C 0.000 0.500 0.000
C 0.500 0.000 0.000

***

# 2
Mn2AsIr | GGA-PBE | relaxed

As for the space group: Imm2. The value obtained for the total energy is -7.934 eV per atom. The size of the total moment is 6.99 μB/f.u. As for the formation energy: 29 meV per atom.

Cell lengths 3.680, 3.808, 8.190 Å; angles 90.00, 90.00, 90.00 degrees
Positions (direct):
Mn 0.000 0.000 0.000
Mn 0.000 0.500 0.247
Mn 0.500 0.000 0.747
Mn 0.500 0.500 0.500
As 0.000 0.500 0.749
As 0.500 0.000 0.249
Ir 0.000 0.000 0.497
Ir 0.500 0.500 0.997